[1]
Below is crystalline BaScAsBr2 at its relaxed geometry, with properties calculated at the PBE-GGA level.

```
data_BaScAsBr2
_chemical_formula_sum 'Ba1 Sc1 As1 Br2'
_cell_length_a 5.340
_cell_length_b 5.340
_cell_length_c 5.335
_cell_angle_alpha 90.00
_cell_angle_beta 90.00
_cell_angle_gamma 90.00
_symmetry_space_group_name_H-M 'P 4/m m m'
_symmetry_Int_Tables_number 123
_symmetry_space_group_name_Hall '-P 4 2'
loop_
_atom_site_label
_atom_site_fract_x
_atom_site_fract_y
_atom_site_fract_z
Ba1 0.000 0.000 0.000
Sc1 0.500 0.500 0.500
As1 0.500 0.500 0.000
Br1 0.000 0.500 0.500
```

Uncorrected formation energy = -1.41 eV per atom
Polymorph energy (0 for the lowest one) = 0.000 eV per atom
DOS(E_F) = 0.043 states/eV/atom
Magnetic moment = 0.00 μB per formula unit

[2]
Below is crystalline Sm4GaN at its relaxed geometry, with properties calculated at the PBE-GGA level.

```
data_Sm4GaN
_chemical_formula_sum 'Sm16 Ga4 N4'
_cell_length_a 5.032
_cell_length_b 18.000
_cell_length_c 6.733
_cell_angle_alpha 90.00
_cell_angle_beta 90.00
_cell_angle_gamma 90.00
_symmetry_space_group_name_H-M 'C m c 21'
_symmetry_Int_Tables_number 36
_symmetry_space_group_name_Hall 'C 2c -2'
loop_
_atom_site_label
_atom_site_fract_x
_atom_site_fract_y
_atom_site_fract_z
Sm1 0.000 0.021 0.000
Sm2 0.000 0.168 0.396
Sm3 0.000 0.204 0.905
Sm4 0.000 0.408 0.191
Ga1 0.000 0.393 0.678
N1 0.000 0.095 0.692
```

Uncorrected formation energy = -0.61 eV per atom
DOS(E_F) = 0.808 states/eV/atom
Magnetic moment = 0.00 μB per formula unit

[3]
Below is crystalline InTeI6 at its relaxed geometry, with properties calculated at the PBE-GGA level.

```
data_InTeI6
_chemical_formula_sum 'In2 Te2 I12'
_cell_length_a 7.540
_cell_length_b 13.368
_cell_length_c 7.563
_cell_angle_alpha 90.00
_cell_angle_beta 109.96
_cell_angle_gamma 90.00
_symmetry_space_group_name_H-M 'C 1 2/m 1'
_symmetry_Int_Tables_number 12
_symmetry_space_group_name_Hall '-C 2y'
loop_
_atom_site_label
_atom_site_fract_x
_atom_site_fract_y
_atom_site_fract_z
In1 0.000 0.000 0.000
Te1 0.000 0.500 0.500
I1 0.228 0.000 0.769
I2 0.236 0.341 0.739
```

Uncorrected formation energy = -0.21 eV per atom
Polymorph energy (0 for the lowest one) = 0.000 eV per atom
DOS(E_F) = 0.448 states/eV/atom
Magnetic moment = 0.00 μB per formula unit

[4]
Below is crystalline Na3CoRh2Se6 at its relaxed geometry, with properties calculated at the PBE-GGA level.

```
data_Na3CoRh2Se6
_chemical_formula_sum 'Na6 Co2 Rh4 Se12'
_cell_length_a 6.532
_cell_length_b 11.313
_cell_length_c 6.967
_cell_angle_alpha 90.00
_cell_angle_beta 108.23
_cell_angle_gamma 90.00
_symmetry_space_group_name_H-M 'C 1 2/m 1'
_symmetry_Int_Tables_number 12
_symmetry_space_group_name_Hall '-C 2y'
loop_
_atom_site_label
_atom_site_fract_x
_atom_site_fract_y
_atom_site_fract_z
Na1 0.000 0.000 0.000
Na2 0.000 0.329 0.000
Co1 0.000 0.500 0.500
Rh1 0.000 0.167 0.500
Se1 0.223 0.339 0.686
Se2 0.239 0.000 0.686
```

Uncorrected formation energy = -0.64 eV per atom
Magnetic moment = 0.00 μB per formula unit

[5]
Below is crystalline TaNbGa at its relaxed geometry, with properties calculated at the PBE-GGA level.

```
data_TaNbGa
_chemical_formula_sum 'Ta1 Nb1 Ga1'
_cell_length_a 4.6853
_cell_length_b 4.6853
_cell_length_c 2.7719
_cell_angle_alpha 90.00
_cell_angle_beta 90.00
_cell_angle_gamma 120.00
_symmetry_space_group_name_H-M 'P 3 m 1'
_symmetry_Int_Tables_number 156
_symmetry_space_group_name_Hall 'P 3 -2"'
loop_
_atom_site_label
_atom_site_fract_x
_atom_site_fract_y
_atom_site_fract_z
Ta1 0.0000 0.0000 0.0000
Nb1 0.3333 0.6667 0.6555
Ga1 0.6667 0.3333 0.3346
```

Polymorph energy (0 for the lowest one) = 0.169 eV per atom
Formation energy from the elements = -0.03 eV/atom
DOS(E_F) = 0.732 states/eV/atom
Magnetic moment = 0.00 μB per formula unit

[6]
Below is crystalline Ir2OsW2 at its relaxed geometry, with properties calculated at the PBE-GGA level.

```
data_Ir2OsW2
_chemical_formula_sum 'Ir4 Os2 W4'
_cell_length_a 8.753
_cell_length_b 3.911
_cell_length_c 6.170
_cell_angle_alpha 90.00
_cell_angle_beta 134.38
_cell_angle_gamma 90.00
_symmetry_space_group_name_H-M 'C 1 2/m 1'
_symmetry_Int_Tables_number 12
_symmetry_space_group_name_Hall '-C 2y'
loop_
_atom_site_label
_atom_site_fract_x
_atom_site_fract_y
_atom_site_fract_z
Ir1 0.199 0.000 0.100
Os1 0.000 0.000 0.500
W1 0.091 0.500 0.296
```

Polymorph energy (0 for the lowest one) = 0.000 eV per atom
Formation energy from the elements = -0.11 eV/atom
DOS(E_F) = 0.814 states/eV/atom
Magnetic moment = 0.00 μB per formula unit